No. 1
This record from the Alexandria database describes a relaxed Ho8Ag2Hg crystal. The functional is PBE.

abc: 9.251 9.251 7.009
angles: 106.58 106.58 32.40
Atoms (fractional coordinates):
Ho1 0.029 0.029 0.271
Ho2 0.197 0.197 0.816
Ho3 0.330 0.330 0.525
Ho4 0.407 0.407 0.036
Ho5 0.593 0.593 0.964
Ho6 0.670 0.670 0.475
Ho7 0.803 0.803 0.184
Ho8 0.971 0.971 0.729
Ag1 0.184 0.184 0.215
Ag2 0.816 0.816 0.785
Hg1 0.500 0.500 0.500

Energy relative to the elements, eV per atom: -0.17
Total magnetic moment, μB/f.u.: 0.00
V, Å³ per cell: 306.9

No. 2
This record from the Alexandria database describes a relaxed Ho4Ag2Hg crystal. The functional is PBE.

abc: 8.730 8.730 8.730
angles: 34.08 34.08 34.08
Atoms (fractional coordinates):
Ho1 0.120 0.120 0.120
Ho2 0.372 0.372 0.372
Ho3 0.628 0.628 0.628
Ho4 0.880 0.880 0.880
Ag1 0.249 0.249 0.249
Ag2 0.751 0.751 0.751
Hg1 0.500 0.500 0.500

Energy relative to the elements, eV per atom: -0.22
Total magnetic moment, μB/f.u.: 0.00
V, Å³ per cell: 186.3

No. 3
This record from the Alexandria database describes a relaxed Ho3Ag3Hg2 crystal. The functional is PBE.

abc: 7.498 7.498 3.926
angles: 90.00 90.00 120.00
Atoms (fractional coordinates):
Ho1 0.000 0.378 0.000
Ho2 0.378 0.000 0.000
Ho3 0.622 0.622 0.000
Ag1 0.000 0.774 0.500
Ag2 0.226 0.226 0.500
Ag3 0.774 0.000 0.500
Hg1 0.333 0.667 0.500
Hg2 0.667 0.333 0.500

Energy relative to the elements, eV per atom: -0.29
Total magnetic moment, μB/f.u.: 0.00
V, Å³ per cell: 191.1

No. 4
This record from the Alexandria database describes a relaxed Ho3AgHg crystal. The functional is PBE.

abc: 8.343 3.613 9.555
angles: 90.00 109.32 90.00
Atoms (fractional coordinates):
Ho1 0.000 0.000 0.000
Ho2 0.011 0.000 0.380
Ho3 0.189 0.500 0.773
Ho4 0.447 0.000 0.084
Ho5 0.564 0.000 0.772
Ho6 0.621 0.500 0.424
Ag1 0.234 0.500 0.221
Ag2 0.325 0.500 0.531
Hg1 0.762 0.500 0.121
Hg2 0.868 0.000 0.654

Energy relative to the elements, eV per atom: -0.21
Total magnetic moment, μB/f.u.: 0.00
V, Å³ per cell: 271.8

No. 5
This record from the Alexandria database describes a relaxed Ho6AgHg crystal. The functional is PBE.

abc: 6.877 6.877 6.797
angles: 103.52 103.52 120.77
Atoms (fractional coordinates):
Ho1 0.041 0.450 0.748
Ho2 0.244 0.244 0.256
Ho3 0.450 0.041 0.748
Ho4 0.550 0.959 0.252
Ho5 0.756 0.756 0.744
Ho6 0.959 0.550 0.252
Ag1 0.000 0.000 0.500
Hg1 0.500 0.500 0.000

Energy relative to the elements, eV per atom: 0.08
Total magnetic moment, μB/f.u.: 0.55
V, Å³ per cell: 243.3

No. 6
This record from the Alexandria database describes a relaxed HoAg4Hg2 crystal. The functional is PBE.

abc: 5.832 5.832 5.832
angles: 103.45 103.45 122.34
Atoms (fractional coordinates):
Ho1 0.000 0.000 0.000
Ag1 0.306 0.306 0.612
Ag2 0.306 0.694 0.000
Ag3 0.694 0.306 0.000
Ag4 0.694 0.694 0.388
Hg1 0.250 0.750 0.500
Hg2 0.750 0.250 0.500

Energy relative to the elements, eV per atom: -0.07
Total magnetic moment, μB/f.u.: 0.00
V, Å³ per cell: 146.8